Zr2CrHRu | PBE | relaxed

Cell lengths 4.6135, 4.6135, 3.4661 Å; angles 90.00, 90.00, 90.00 degrees
Each line ends with the local moment (μB).
Fractional coordinates of all 5 atoms:
Zr1 0.5000 0.0000 0.0000  -0.19
Zr2 0.0000 0.5000 0.0000  -0.19
Ru1 0.0000 0.0000 0.5000  0.03
Cr1 0.5000 0.5000 0.5000  1.75
H1 0.0000 0.0000 0.0000  0.00

As for the distance to the lowest polymorph of the same formula: 92.8 meV per atom. The calculated volume is 73.8 Å³/cell. Its space-group type is P4/mmm, No. 123.

K2Dy2PbO6 | PBE | relaxed

Cell lengths 5.9702, 5.9702, 6.6752 Å; angles 98.11, 98.11, 120.08 degrees
Fractional coordinates of all 11 atoms:
Pb1 0.0000 0.0000 0.5000
O1 0.7387 0.7387 0.6776
O2 0.6140 0.9498 0.3217
O3 0.9498 0.6140 0.3217
O4 0.3860 0.0502 0.6783
O5 0.0502 0.3860 0.6783
O6 0.2613 0.2613 0.3224
K1 0.8351 0.1649 0.0000
K2 0.1649 0.8351 0.0000
Dy1 0.6656 0.3344 0.5000
Dy2 0.3344 0.6656 0.5000

The calculated volume is 197.5 Å³/cell. The formation energy (no corrections) comes out at -2.262 eV/atom. Its space-group type is C2/m, No. 12.

AlSiPb | PBE | relaxed

Cell lengths 4.1347, 4.1347, 4.8245 Å; angles 90.00, 90.00, 120.00 degrees
Fractional coordinates of all 3 atoms:
Pb1 0.3333 0.6667 0.6401
Si1 0.6667 0.3333 0.2298
Al1 0.0000 0.0000 0.0966

As for the distance to the lowest polymorph of the same formula: 57.8 meV per atom. The calculated volume is 71.4 Å³/cell. The formation energy (no corrections) comes out at 0.244 eV/atom. Its space-group type is P3m1, No. 156.

Tb4IrSe2 | PBE | relaxed

Cell lengths 3.8672, 6.9032, 14.1718 Å; angles 90.00, 90.00, 106.27 degrees
Fractional coordinates of all 14 atoms:
Tb1 0.9532 0.9065 0.7500
Tb2 0.2050 0.4101 0.6292
Tb3 0.2050 0.4101 0.8708
Tb4 0.0468 0.0935 0.2500
Tb5 0.7950 0.5899 0.3708
Tb6 0.7950 0.5899 0.1292
Tb7 0.5000 0.0000 0.5000
Tb8 0.5000 0.0000 0.0000
Se1 0.8584 0.7169 0.9344
Se2 0.1416 0.2831 0.4344
Se3 0.8584 0.7169 0.5656
Se4 0.1416 0.2831 0.0656
Ir1 0.3946 0.7892 0.2500
Ir2 0.6054 0.2108 0.7500

The calculated volume is 363.2 Å³/cell. The formation energy (no corrections) comes out at -1.259 eV/atom. Its space-group type is Cmcm, No. 63.

Tb3Mg3Sc2 | PBE | relaxed

Cell lengths 3.6431, 5.3718, 11.3771 Å; angles 103.66, 99.21, 90.00 degrees
Fractional coordinates of all 8 atoms:
Tb1 0.3707 0.3707 0.7414
Tb2 0.5000 0.0000 0.0000
Tb3 0.6293 0.6293 0.2586
Mg1 0.8768 0.8768 0.7537
Mg2 0.1232 0.1232 0.2463
Mg3 0.0000 0.5000 0.0000
Sc1 0.7373 0.2373 0.4745
Sc2 0.2627 0.7627 0.5255

The calculation puts the formation energy at -0.037 eV per atom. The calculated volume is 213.4 Å³/cell. Its space-group type is Immm, No. 71.

Cs3CaC | PBE | relaxed

Cell lengths 6.5629, 6.5629, 6.5629 Å; angles 90.00, 90.00, 90.00 degrees
Fractional coordinates of all 5 atoms:
Cs1 0.0000 0.5000 0.0000
Cs2 0.5000 0.0000 0.0000
Cs3 0.0000 0.0000 0.5000
Ca1 0.5000 0.5000 0.5000
C1 0.0000 0.0000 0.0000

The calculation puts the formation energy at 1.145 eV per atom. The calculated volume is 282.7 Å³/cell. Its space-group type is Pm-3m, No. 221.

AlCo2 | PBE | relaxed

Cell lengths 4.5806, 4.5806, 4.5806 Å; angles 107.17, 107.17, 114.17 degrees
Each line ends with the local moment (μB).
Fractional coordinates of all 6 atoms:
Co1 0.8508 0.6492 0.5000  1.25
Co2 0.3508 0.8508 0.2017  1.25
Co3 0.6492 0.1492 0.7983  1.25
Co4 0.1492 0.3508 0.5000  1.25
Al1 0.2500 0.2500 0.0000  -0.04
Al2 0.7500 0.7500 0.0000  -0.04

The calculation puts the formation energy at 0.010 eV per atom. The calculated volume is 73.6 Å³/cell. Its space-group type is I4/mcm, No. 140.

FeAgPt2 | PBE | relaxed

Cell lengths 4.0273, 4.0275, 3.8089 Å; angles 90.00, 90.00, 90.00 degrees
Each line ends with the local moment (μB).
Fractional coordinates of all 4 atoms:
Pt1 0.5000 0.5000 0.0000  0.33
Pt2 0.0000 0.0000 0.0000  0.33
Ag1 0.5000 0.0000 0.5000  0.06
Fe1 0.0000 0.5000 0.5000  3.27

The calculation puts the formation energy at -0.006 eV per atom. The calculated volume is 61.8 Å³/cell. Its space-group type is P4/mmm, No. 123.

Result set for total energy: -8.0448 -6.3394 -4.0475 -6.1659 -3.9544 -1.6121 -5.9747 -5.8552 eV per atom, one per record in the order listed.